# Cs2KTaF6 PBE optimized geometry
# - Calculated volume: 20.74 A^3/atom
# - Spin magnetization: 8.00 μB per cell
# - Formation energy without anion corrections: -2.713 eV per atom
data_Cs2KTaF6
_space_group_name_H-M_alt 'F m -3 m'
_space_group_IT_number 225
_space_group_name_Hall '-F 4 2 3'
_cell_length_a 9.3956
_cell_length_b 9.3956
_cell_length_c 9.3956
_cell_angle_alpha 90.00
_cell_angle_beta 90.00
_cell_angle_gamma 90.00
loop_
_atom_site_label
_atom_site_type_symbol
_atom_site_fract_x
_atom_site_fract_y
_atom_site_fract_z
Cs1 Cs 0.2500 0.2500 0.2500
K1 K 0.0000 0.0000 0.0000
Ta1 Ta 0.0000 0.0000 0.5000
F1 F 0.0000 0.0000 0.2761

# Mo2AsBr PBE optimized geometry
# - Calculated volume: 16.86 A^3/atom
# - Spin magnetization: 0.00 μB per cell
# - Formation energy without anion corrections: 0.775 eV per atom
data_Mo2AsBr
_space_group_name_H-M_alt 'I -4 m 2'
_space_group_IT_number 119
_space_group_name_Hall 'I -4 -2'
_cell_length_a 4.1208
_cell_length_b 4.1208
_cell_length_c 7.9418
_cell_angle_alpha 90.00
_cell_angle_beta 90.00
_cell_angle_gamma 90.00
loop_
_atom_site_label
_atom_site_type_symbol
_atom_site_fract_x
_atom_site_fract_y
_atom_site_fract_z
Mo1 Mo 0.0000 0.0000 0.0000
Mo2 Mo 0.0000 0.5000 0.2500
As1 As 0.0000 0.5000 0.7500
Br1 Br 0.0000 0.0000 0.5000

# U2InSi3Ir4 PBE optimized geometry
# - Calculated volume: 17.74 A^3/atom
# - Spin magnetization: 3.34 μB per cell
# - Formation energy without anion corrections: -0.608 eV per atom
data_U2InSi3Ir4
_space_group_name_H-M_alt 'P -4 m 2'
_space_group_IT_number 115
_space_group_name_Hall 'P -4 -2'
_cell_length_a 4.0260
_cell_length_b 4.0260
_cell_length_c 10.9448
_cell_angle_alpha 90.00
_cell_angle_beta 90.00
_cell_angle_gamma 90.00
loop_
_atom_site_label
_atom_site_type_symbol
_atom_site_fract_x
_atom_site_fract_y
_atom_site_fract_z
U1 U 0.0000 0.5000 0.2427
In1 In 0.0000 0.0000 0.5000
Si1 Si 0.0000 0.5000 0.8796
Si2 Si 0.5000 0.5000 0.5000
Ir1 Ir 0.0000 0.0000 0.0000
Ir2 Ir 0.0000 0.5000 0.6666
Ir3 Ir 0.5000 0.5000 0.0000

# Zn2Cu5Ir PBE optimized geometry
# - Calculated volume: 12.81 A^3/atom
# - Spin magnetization: 0.00 μB per cell
# - ΔE_f: -0.07 eV/atom
data_Zn2Cu5Ir
_space_group_name_H-M_alt 'P b a m'
_space_group_IT_number 55
_space_group_name_Hall '-P 2 2ab'
_cell_length_a 5.2548
_cell_length_b 10.4570
_cell_length_c 3.7286
_cell_angle_alpha 90.00
_cell_angle_beta 90.00
_cell_angle_gamma 90.00
loop_
_atom_site_label
_atom_site_type_symbol
_atom_site_fract_x
_atom_site_fract_y
_atom_site_fract_z
Zn1 Zn 0.2401 0.1245 0.0000
Cu1 Cu 0.0000 0.5000 0.5000
Cu2 Cu 0.0129 0.7458 0.5000
Cu3 Cu 0.2409 0.3721 0.0000
Ir1 Ir 0.0000 0.0000 0.5000

# YBe2Os PBE optimized geometry
# - Calculated volume: 15.37 A^3/atom
# - Spin magnetization: 0.00 μB per cell
# - ΔE_f: 0.41 eV/atom
data_YBe2Os
_space_group_name_H-M_alt 'F -4 3 m'
_space_group_IT_number 216
_space_group_name_Hall 'F -4 2 3'
_cell_length_a 6.2657
_cell_length_b 6.2657
_cell_length_c 6.2657
_cell_angle_alpha 90.00
_cell_angle_beta 90.00
_cell_angle_gamma 90.00
loop_
_atom_site_label
_atom_site_type_symbol
_atom_site_fract_x
_atom_site_fract_y
_atom_site_fract_z
Y1 Y 0.0000 0.0000 0.0000
Be1 Be 0.0000 0.0000 0.5000
Be2 Be 0.2500 0.2500 0.2500
Os1 Os 0.2500 0.2500 0.7500

# Hf2TiI PBE optimized geometry
# - Calculated volume: 21.81 A^3/atom
# - Spin magnetization: 6.94 μB per cell
# - Formation energy without anion corrections: 0.532 eV per atom
data_Hf2TiI
_space_group_name_H-M_alt 'F m -3 m'
_space_group_IT_number 225
_space_group_name_Hall '-F 4 2 3'
_cell_length_a 7.0406
_cell_length_b 7.0406
_cell_length_c 7.0406
_cell_angle_alpha 90.00
_cell_angle_beta 90.00
_cell_angle_gamma 90.00
loop_
_atom_site_label
_atom_site_type_symbol
_atom_site_fract_x
_atom_site_fract_y
_atom_site_fract_z
Hf1 Hf 0.2500 0.2500 0.2500
Ti1 Ti 0.0000 0.0000 0.0000
I1 I 0.0000 0.0000 0.5000

# Bi3PdO7 PBE optimized geometry
# - Calculated volume: 14.46 A^3/atom
# - Spin magnetization: 0.00 μB per cell
# - Formation energy without anion corrections: -0.938 eV per atom
data_Bi3PdO7
_space_group_name_H-M_alt 'C 2 2 21'
_space_group_IT_number 20
_space_group_name_Hall 'C 2c 2'
_cell_length_a 7.8336
_cell_length_b 10.6656
_cell_length_c 7.6170
_cell_angle_alpha 90.00
_cell_angle_beta 90.00
_cell_angle_gamma 90.00
loop_
_atom_site_label
_atom_site_type_symbol
_atom_site_fract_x
_atom_site_fract_y
_atom_site_fract_z
Bi1 Bi 0.0291 0.0000 0.0000
Bi2 Bi 0.2331 0.2686 0.7563
Pd1 Pd 0.0012 0.5000 0.5000
O1 O 0.0000 0.1363 0.2500
O2 O 0.0000 0.1438 0.7500
O3 O 0.0000 0.4296 0.7500
O4 O 0.1871 0.3703 0.0307
O5 O 0.2021 0.3770 0.4727

# SrAgCl5 PBE optimized geometry
# - Calculated volume: 30.07 A^3/atom
# - Spin magnetization: 0.00 μB per cell
# - Formation energy without anion corrections: -1.080 eV per atom
data_SrAgCl5
_space_group_name_H-M_alt 'C 1 2/c 1'
_space_group_IT_number 15
_space_group_name_Hall '-C 2yc'
_cell_length_a 11.2613
_cell_length_b 7.9484
_cell_length_c 10.3729
_cell_angle_alpha 90.00
_cell_angle_beta 114.94
_cell_angle_gamma 90.00
loop_
_atom_site_label
_atom_site_type_symbol
_atom_site_fract_x
_atom_site_fract_y
_atom_site_fract_z
Sr1 Sr 0.0000 0.0716 0.2500
Ag1 Ag 0.0000 0.5000 0.0000
Cl1 Cl 0.0000 0.4438 0.2500
Cl2 Cl 0.0261 0.1816 0.5335
Cl3 Cl 0.2319 0.4519 0.1022